(1)
{
  "formula": "Mg2Fe2Tc",
  "functional": "GGA-PBE",
  "state": "optimized geometry",
  "lattice": [[5.9576, 0.0000, 0.0000], [0.0000, 5.9576, 0.0000], [0.0000, 0.0000, 4.3141]],
  "species": ["Mg", "Fe", "Tc", "Mg", "Mg", "Fe", "Fe", "Mg", "Fe", "Tc"],
  "frac_coords": [[0.8212, 0.3212, 0.5000], [0.1259, 0.3741, 0.0000], [0.0000, 0.0000, 0.0000], [0.6788, 0.8212, 0.5000], [0.1788, 0.6788, 0.5000], [0.6259, 0.1259, 0.0000], [0.8741, 0.6259, 0.0000], [0.3212, 0.1788, 0.5000], [0.3741, 0.8741, 0.0000], [0.5000, 0.5000, 0.0000]],
  "e_tot_ev_per_cell": -58.1,
  "magmom_total_mub_per_fu": 1.76
}

---

(2)
{
  "formula": "Na2AlAsP",
  "functional": "GGA-PBE",
  "state": "optimized geometry",
  "lattice": [[5.2797, 0.0000, 0.0000], [0.0000, 4.8483, 0.0000], [0.0000, 0.0000, 5.2797]],
  "species": ["As", "P", "Na", "Al", "Na"],
  "frac_coords": [[0.0000, 0.5000, 0.0000], [0.0000, 0.0000, 0.0000], [0.5000, 0.0000, 0.0000], [0.5000, 0.5000, 0.5000], [0.0000, 0.0000, 0.5000]],
  "e_tot_ev_per_cell": -14.9,
  "magmom_total_mub_per_fu": 0.00
}